1.
Below is a PBEsol-optimized structure of ScBeAs2, with properties calculated at the meta-GGA SCAN level.

Geometry as extended XYZ:
```
4
Lattice="4.013 0.000 0.000 0.000 4.013 0.000 -2.006 -2.006 3.984" Properties=species:S:1:pos:R:3 pbc="T T T"
As 0.000 2.006 1.992
As 2.006 0.000 1.992
Sc 0.000 0.000 0.000
Be 2.006 2.006 0.000
```

The calculated formation energy is -1.0 eV/f.u. The value obtained for the spin magnetization is 0.00 μB per cell. For the uncorrected energy, the calculation gives -14.98 eV per atom. Its symmetry is I4/mmm (139).

2.
Below is a PBEsol-optimized structure of SbTe2Ru, with properties calculated at the meta-GGA SCAN level.

Geometry as extended XYZ:
```
4
Lattice="-1.232 1.495 -2.474 -2.562 0.681 1.688 4.018 8.037 2.856" Properties=species:S:1:pos:R:3 pbc="T T T"
Ru 1.994 3.989 1.418
Te 3.999 7.999 2.843
Sb 0.850 6.583 1.560
Te -0.593 3.697 0.534
```

The value obtained for the spin magnetization is 0.81 μB per cell. The value obtained for the uncorrected formation energy is 0.062 eV/atom. For the uncorrected energy, the calculation gives -36.59 eV per atom. Its symmetry is P4mm (99).

3.
Below is a PBEsol-optimized structure of Na4Al3Si3HO13, with properties calculated at the meta-GGA SCAN level.

Geometry as extended XYZ:
```
48
Lattice="-5.568 6.278 2.490 -6.716 -5.171 -2.184 -0.013 -3.307 8.104" Properties=species:S:1:pos:R:3 pbc="T T T"
Si -2.801 2.297 3.277
Al -3.382 -3.406 0.938
O -9.498 0.348 6.046
O -4.071 2.419 4.299
O -8.194 -4.605 6.106
O -4.428 -2.723 7.609
O -12.113 -2.167 8.285
O -6.069 1.937 1.432
O -6.516 -5.477 3.153
Al -4.471 1.847 0.720
Si -4.757 -1.014 -0.449
O -8.645 1.934 1.977
O -1.754 -1.305 3.453
Si -9.521 -4.503 5.156
O -7.553 2.790 4.483
O -3.668 -1.719 0.548
Na -5.834 1.642 8.565
O -5.965 -1.067 4.080
O -6.258 -1.316 0.125
Al -7.834 -0.730 -0.377
Si -1.706 -2.940 3.508
Na -6.030 1.281 3.691
Al -4.191 3.042 5.935
Na -4.225 -1.824 5.518
O -4.786 -4.090 1.731
O -8.261 -3.688 1.753
Al -3.390 -5.069 4.986
O -5.827 2.757 6.494
H -5.166 -0.924 3.534
O -10.553 -0.413 3.753
H -11.315 -2.024 7.739
O -3.279 1.468 1.950
O -2.830 -3.458 4.576
Na -10.361 0.375 1.616
Na -7.958 -1.424 5.443
O -4.708 -4.901 6.127
Na -6.398 -2.436 2.181
O -4.145 0.090 8.075
O -9.757 -2.921 4.813
Na -6.605 -6.096 5.414
O -2.550 -0.244 6.006
Si -7.568 -1.186 8.878
O -9.018 -1.354 0.753
O -7.643 0.296 8.193
O -7.890 -2.283 7.708
Al -1.414 -0.099 4.681
Si -10.620 0.732 4.918
Na -1.810 -0.324 1.238
```

The value obtained for the spin magnetization is 0.18 μB per cell. For the uncorrected energy, the calculation gives -9.26 eV per atom. Its symmetry is R3c (161).

4.
Below is a PBEsol-optimized structure of Rb2ZnBr4, with properties calculated at the meta-GGA SCAN level.

Geometry as extended XYZ:
```
28
Lattice="7.442 0.000 0.000 0.000 9.662 0.000 0.000 0.000 13.439" Properties=species:S:1:pos:R:3 pbc="T T T"
Br 5.558 9.473 1.184
Zn 1.858 7.478 12.444
Zn 5.579 2.184 0.994
Br 1.844 1.812 5.451
Rb 1.873 5.038 4.424
Br 5.566 3.019 12.170
Br 1.837 5.020 7.903
Br 3.662 3.172 2.042
Rb 5.594 4.624 9.015
Rb 1.873 0.207 2.295
Br 5.558 4.642 5.535
Br 1.837 0.189 12.254
Br 3.791 1.676 8.744
Rb 5.594 9.455 11.143
Rb 5.600 1.166 5.715
Br 5.566 7.850 7.988
Br 3.662 8.003 4.677
Br 1.844 6.643 1.268
Rb 5.600 5.997 1.005
Br 0.070 3.155 2.024
Zn 5.579 7.015 5.725
Br 7.384 6.490 11.396
Br 7.384 1.659 8.761
Rb 1.878 3.665 12.434
Br 0.070 7.986 4.695
Br 3.791 6.507 11.414
Rb 1.878 8.496 7.724
Zn 1.858 2.647 7.714
```

The value obtained for the spin magnetization is 0.00 μB per cell. The value obtained for the uncorrected formation energy is -1.579 eV/atom. For the uncorrected energy, the calculation gives -20.55 eV per atom. Its symmetry is Pna2_1 (33).

5.
Below is a PBEsol-optimized structure of FeSi2Mo, with properties calculated at the meta-GGA SCAN level.

Geometry as extended XYZ:
```
4
Lattice="-1.677 -1.499 -2.668 2.560 -2.353 -0.287 -2.412 -0.537 4.100" Properties=species:S:1:pos:R:3 pbc="T T T"
Si 0.000 0.000 0.000
Fe 0.442 -1.926 -1.477
Si -1.823 -1.981 -0.023
Mo 0.295 -2.408 1.168
```

The value obtained for the spin magnetization is 1.93 μB per cell. The value obtained for the uncorrected formation energy is -0.129 eV/atom. For the uncorrected energy, the calculation gives -18.39 eV per atom. Its symmetry is I-4m2 (119).

6.
Below is a PBEsol-optimized structure of TaCoB2Sb, with properties calculated at the meta-GGA SCAN level.

Geometry as extended XYZ:
```
5
Lattice="4.201 0.000 0.000 0.000 4.201 0.000 0.000 0.000 5.330" Properties=species:S:1:pos:R:3 pbc="T T T"
Ta 0.000 0.000 2.665
B 2.101 0.000 0.000
Co 2.101 2.101 2.665
B 0.000 2.101 0.000
Sb 0.000 0.000 0.000
```

The value obtained for the spin magnetization is 1.05 μB per cell. The value obtained for the uncorrected formation energy is 2.550 eV/atom. For the uncorrected energy, the calculation gives -24.65 eV per atom. Its symmetry is P4/mmm (123).

7.
Below is a PBEsol-optimized structure of Li2ReOs, with properties calculated at the meta-GGA SCAN level.

Geometry as extended XYZ:
```
4
Lattice="-2.632 1.151 -0.563 -1.179 -2.679 0.032 -1.178 0.600 6.735" Properties=species:S:1:pos:R:3 pbc="T T T"
Li -0.001 0.000 0.003
Li -2.211 -0.608 1.483
Re -2.758 -0.330 4.611
Os -0.608 0.309 3.474
```

For the energy above the most stable polymorph in this dataset, the calculation gives 107.3 meV per atom. The calculated formation energy is 0.9 eV/f.u. The value obtained for the spin magnetization is 0.00 μB per cell. For the uncorrected energy, the calculation gives -36.71 eV per atom. Its symmetry is P4mm (99).

8.
Below is a PBEsol-optimized structure of BiB2O5, with properties calculated at the meta-GGA SCAN level.

Geometry as extended XYZ:
```
32
Lattice="6.656 0.032 0.032 3.219 5.826 0.032 2.001 1.187 9.681" Properties=species:S:1:pos:R:3 pbc="T T T"
Bi 2.636 3.980 2.979
O 4.772 5.525 3.635
O 10.079 4.893 8.279
O 3.857 2.038 2.989
O 6.004 2.199 4.015
B 7.609 2.491 9.684
O 3.679 4.167 5.081
O 8.137 2.132 8.476
O 8.197 2.878 4.663
B 6.896 5.601 6.215
O 5.809 4.808 8.856
O 7.104 1.519 6.109
B 7.221 2.773 1.374
Bi 9.240 3.064 6.766
O 1.797 2.151 1.466
O 7.238 4.044 1.916
B 7.043 2.155 4.901
O 4.420 0.637 0.241
B 4.267 4.554 0.060
B 4.655 4.271 8.370
O 8.126 5.905 3.439
O 4.638 3.001 7.829
O 5.872 4.845 5.730
Bi 6.119 6.046 1.925
O 6.067 2.236 0.889
Bi 5.758 0.998 7.820
O 7.456 6.407 9.504
O 3.739 4.912 1.269
B 4.980 1.444 3.530
O 3.750 1.139 6.306
B 4.834 4.890 4.844
O 8.019 5.006 6.756
```

The value obtained for the spin magnetization is 0.00 μB per cell. The value obtained for the uncorrected formation energy is -1.892 eV/atom. For the uncorrected energy, the calculation gives -17.47 eV per atom. Its symmetry is C2/c (15).

9.
Below is a PBEsol-optimized structure of Li2LaSi2, with properties calculated at the meta-GGA SCAN level.

Geometry as extended XYZ:
```
10
Lattice="-0.098 -1.229 -2.552 7.761 1.161 -0.856 1.417 -7.017 3.326" Properties=species:S:1:pos:R:3 pbc="T T T"
Si 2.278 -5.156 0.822
La 4.589 -2.928 1.235
Li 4.930 -0.089 -0.146
Li 7.743 -3.283 1.285
Si 2.713 -1.476 -0.967
La 0.000 0.000 0.000
Li 4.247 -5.766 2.615
Si 6.801 -1.929 -0.905
Li 1.434 -2.573 1.184
Si 6.367 -5.609 0.884
```

For the energy above the most stable polymorph in this dataset, the calculation gives 258.2 meV per atom. The value obtained for the spin magnetization is 0.36 μB per cell. The value obtained for the uncorrected formation energy is -0.264 eV/atom. For the uncorrected energy, the calculation gives -13.85 eV per atom. Its symmetry is P4/mbm (127).

10.
Below is a PBEsol-optimized structure of Re2Au, with properties calculated at the meta-GGA SCAN level.

Geometry as extended XYZ:
```
3
Lattice="2.852 0.000 0.000 0.000 4.364 0.000 0.000 -2.182 3.780" Properties=species:S:1:pos:R:3 pbc="T T T"
Re 1.426 2.182 1.260
Re 1.426 0.000 2.520
Au 0.000 0.000 0.000
```

For the energy above the most stable polymorph in this dataset, the calculation gives 244.9 meV per atom. The calculated formation energy is 1.7 eV/f.u. The value obtained for the spin magnetization is 0.00 μB per cell. For the uncorrected energy, the calculation gives -69.88 eV per atom. Its symmetry is P6/mmm (191).

11.
Below is a PBEsol-optimized structure of HfZrMn3, with properties calculated at the meta-GGA SCAN level.

Geometry as extended XYZ:
```
5
Lattice="4.498 0.000 0.000 0.000 4.498 0.000 0.000 0.000 4.498" Properties=species:S:1:pos:R:3 pbc="T T T"
Hf 0.000 0.000 0.000
Zr 2.249 2.249 2.249
Mn 0.000 0.000 2.249
Mn 0.000 2.249 0.000
Mn 2.249 0.000 0.000
```

The calculated formation energy is 4.5 eV/f.u. The value obtained for the spin magnetization is 8.08 μB per cell. For the uncorrected energy, the calculation gives -28.72 eV per atom. Its symmetry is Pm-3m (221).

12.
Below is a PBEsol-optimized structure of Mn2WCl, with properties calculated at the meta-GGA SCAN level.

Geometry as extended XYZ:
```
4
Lattice="-3.636 -1.722 -1.343 0.028 -3.773 -1.938 -1.588 -3.406 1.967" Properties=species:S:1:pos:R:3 pbc="T T T"
Mn -3.897 -6.676 -0.986
Mn -1.299 -2.225 -0.329
Cl 0.000 0.000 0.000
W -2.598 -4.450 -0.657
```

For the energy above the most stable polymorph in this dataset, the calculation gives 1037.9 meV per atom. The value obtained for the spin magnetization is 5.26 μB per cell. The value obtained for the uncorrected formation energy is 0.964 eV/atom. For the uncorrected energy, the calculation gives -27.58 eV per atom. Its symmetry is Fm-3m (225).

> Among the records above, which one has the lowest uncorrected energy?

Re2Au